# Nd2SmY2Sc

Nd2SmY2Sc after structural relaxation (GGA-PBE, Alexandria via LeMat-Bulk).

Magnetic moment = 0.0 μB/f.u.
DFT formation energy = 1.0 kcal/mol of atoms
E = -5.543 eV/atom

Lattice parameters (Å, degrees): 5.7017 6.2944 10.8554 90.00 90.00 90.00
Last column: nearest neighbours and their distance in Å.
Sites, in units of the cell vectors:
Sc (0.0000, 0.3384, 0.5796)  3 Nd 3.48-3.63, 5 Y 3.50-3.59, 2 Sm 3.51, 2 Sc 3.59
Sc (0.0000, 0.8384, 0.4204)  3 Nd 3.48-3.63, 5 Y 3.50-3.59, 2 Sm 3.51, 2 Sc 3.59
Y (0.0000, 0.8449, 0.0901)  2 Sm 3.53, 7 Nd 3.54-3.79, 1 Sc 3.59, 2 Y 3.71
Y (0.0000, 0.3449, 0.9099)  2 Sm 3.53, 7 Nd 3.54-3.79, 1 Sc 3.59, 2 Y 3.71
Y (0.5000, 0.6612, 0.5770)  3 Sm 3.49-3.74, 4 Sc 3.50, 3 Nd 3.55-3.71, 2 Y 3.56
Y (0.5000, 0.1612, 0.4230)  3 Sm 3.49-3.74, 4 Sc 3.50, 3 Nd 3.55-3.71, 2 Y 3.56
Nd (0.5000, 0.1768, 0.0814)  5 Y 3.54-3.71, 4 Nd 3.60-3.61, 3 Sm 3.65-3.69
Nd (0.0000, 0.3437, 0.2593)  3 Sc 3.48-3.63, 5 Y 3.55-3.79, 2 Sm 3.55, 2 Nd 3.60
Nd (0.0000, 0.8437, 0.7407)  3 Sc 3.48-3.63, 5 Y 3.55-3.79, 2 Sm 3.55, 2 Nd 3.60
Nd (0.5000, 0.6768, 0.9186)  5 Y 3.54-3.71, 4 Nd 3.60-3.61, 3 Sm 3.65-3.69
Sm (0.5000, 0.1807, 0.7441)  5 Y 3.49-3.74, 2 Sc 3.51, 5 Nd 3.55-3.69
Sm (0.5000, 0.6807, 0.2559)  5 Y 3.49-3.74, 2 Sc 3.51, 5 Nd 3.55-3.69


# Nd6SmY2Sc

Nd6SmY2Sc after structural relaxation (GGA-PBE, Alexandria via LeMat-Bulk).

Magnetic moment = 0.0 μB/f.u.
DFT formation energy = 5.1 kcal/mol of atoms
E = -5.036 eV/atom

Lattice parameters (Å, degrees): 9.1448 7.4067 6.3365 125.76 80.79 90.00
Last column: nearest neighbours and their distance in Å.
Sites, in units of the cell vectors:
Nd (0.6346, 0.3684, 0.7367)  5 Nd 3.17-3.42
Nd (0.7291, 0.8557, 0.2614)  1 Sc 3.07, 3 Nd 3.17-3.42, 1 Sm 3.38
Nd (0.2709, 0.5943, 0.7386)  1 Sc 3.07, 3 Nd 3.17-3.42, 1 Sm 3.38
Nd (0.3654, 0.6316, 0.2633)  5 Nd 3.17-3.42
Nd (0.7291, 0.4057, 0.2614)  1 Sc 3.07, 3 Nd 3.17-3.42, 1 Sm 3.38
Nd (0.2709, 0.1443, 0.7386)  1 Sc 3.07, 3 Nd 3.17-3.42, 1 Sm 3.38
Y (0.9434, 0.8422, 0.6843)  1 Sc 3.45, 1 Y 3.60, 6 Nd 3.61-3.81
Y (0.0566, 0.1578, 0.3157)  1 Sc 3.45, 1 Y 3.60, 6 Nd 3.61-3.81
Sc (0.0000, 0.5000, 0.0000)  4 Nd 3.07
Sm (0.5000, 0.0000, 0.0000)  4 Nd 3.38


# NdSm5Y2Sc

NdSm5Y2Sc after structural relaxation (GGA-PBE, Alexandria via LeMat-Bulk).

Magnetic moment = 0.0 μB/f.u.
DFT formation energy = 3.7 kcal/mol of atoms
E = -5.129 eV/atom

Lattice parameters (Å, degrees): 5.6544 10.4428 10.4877 90.00 90.00 105.71
Last column: nearest neighbours and their distance in Å.
Sites, in units of the cell vectors:
Sm (0.7017, 0.4034, 0.2059)  4 Sm 3.43-3.75, 1 Nd 3.45, 3 Sc 3.47-3.83, 3 Y 3.53-3.70
Sm (0.9814, 0.9629, 0.5171)  2 Nd 3.23, 3 Y 3.40-3.54, 1 Sc 3.57
Sm (0.2983, 0.5966, 0.7059)  4 Sm 3.43-3.75, 1 Nd 3.45, 3 Sc 3.47-3.83, 3 Y 3.53-3.70
Sm (0.2772, 0.5544, 0.3210)  1 Nd 3.04, 1 Y 3.31
Sm (0.0186, 0.0371, 0.0171)  2 Nd 3.23, 3 Y 3.40-3.54, 1 Sc 3.57
Sm (0.5163, 0.0325, 0.2415)  2 Nd 3.11-3.32
Sm (0.6229, 0.2459, 0.5192)  4 Y 3.57-3.62, 4 Sm 3.62-3.75, 1 Sc 3.64
Sm (0.7228, 0.4456, 0.8210)  1 Nd 3.04, 1 Y 3.31
Sm (0.3771, 0.7541, 0.0192)  4 Y 3.57-3.62, 4 Sm 3.62-3.75, 1 Sc 3.64
Sm (0.4837, 0.9675, 0.7415)  2 Nd 3.11-3.32
Y (0.1150, 0.2301, 0.7346)  1 Sc 3.36, 7 Sm 3.52-3.70, 2 Nd 3.71
Y (0.8875, 0.7750, 0.8126)  9 Sm 3.31-3.63, 1 Sc 3.55
Y (0.1125, 0.2250, 0.3126)  9 Sm 3.31-3.63, 1 Sc 3.55
Y (0.8850, 0.7699, 0.2346)  1 Sc 3.36, 7 Sm 3.52-3.70, 2 Nd 3.71
Nd (0.5893, 0.1786, 0.9577)  5 Sm 3.04-3.32
Nd (0.4107, 0.8214, 0.4577)  5 Sm 3.04-3.32
Sc (0.8039, 0.6078, 0.5143)  2 Y 3.36-3.55, 7 Sm 3.47-3.64, 2 Nd 3.60
Sc (0.1961, 0.3922, 0.0143)  2 Y 3.36-3.55, 7 Sm 3.47-3.64, 2 Nd 3.60


Copy entry 1 word for word.
# Nd2SmY2Sc

Nd2SmY2Sc after structural relaxation (GGA-PBE, Alexandria via LeMat-Bulk).

Magnetic moment = 0.0 μB/f.u.
DFT formation energy = 1.0 kcal/mol of atoms
E = -5.543 eV/atom

Lattice parameters (Å, degrees): 5.7017 6.2944 10.8554 90.00 90.00 90.00
Last column: nearest neighbours and their distance in Å.
Sites, in units of the cell vectors:
Sc (0.0000, 0.3384, 0.5796)  3 Nd 3.48-3.63, 5 Y 3.50-3.59, 2 Sm 3.51, 2 Sc 3.59
Sc (0.0000, 0.8384, 0.4204)  3 Nd 3.48-3.63, 5 Y 3.50-3.59, 2 Sm 3.51, 2 Sc 3.59
Y (0.0000, 0.8449, 0.0901)  2 Sm 3.53, 7 Nd 3.54-3.79, 1 Sc 3.59, 2 Y 3.71
Y (0.0000, 0.3449, 0.9099)  2 Sm 3.53, 7 Nd 3.54-3.79, 1 Sc 3.59, 2 Y 3.71
Y (0.5000, 0.6612, 0.5770)  3 Sm 3.49-3.74, 4 Sc 3.50, 3 Nd 3.55-3.71, 2 Y 3.56
Y (0.5000, 0.1612, 0.4230)  3 Sm 3.49-3.74, 4 Sc 3.50, 3 Nd 3.55-3.71, 2 Y 3.56
Nd (0.5000, 0.1768, 0.0814)  5 Y 3.54-3.71, 4 Nd 3.60-3.61, 3 Sm 3.65-3.69
Nd (0.0000, 0.3437, 0.2593)  3 Sc 3.48-3.63, 5 Y 3.55-3.79, 2 Sm 3.55, 2 Nd 3.60
Nd (0.0000, 0.8437, 0.7407)  3 Sc 3.48-3.63, 5 Y 3.55-3.79, 2 Sm 3.55, 2 Nd 3.60
Nd (0.5000, 0.6768, 0.9186)  5 Y 3.54-3.71, 4 Nd 3.60-3.61, 3 Sm 3.65-3.69
Sm (0.5000, 0.1807, 0.7441)  5 Y 3.49-3.74, 2 Sc 3.51, 5 Nd 3.55-3.69
Sm (0.5000, 0.6807, 0.2559)  5 Y 3.49-3.74, 2 Sc 3.51, 5 Nd 3.55-3.69


Q: Among the records above, which one has the lowest E?
A: Nd2SmY2Sc